First-principles (PBE) data for a relaxed structure of ReRuSeBr2, as listed in Alexandria via LeMat-Bulk.

Output
**E_form (uncorrected)**: 6.1 eV/f.u.
**SG**: No. 123
**Density**: 6.73 g cm⁻³
**Energy above the most stable polymorph in this dataset**: 0.00 eV per formula unit

extended XYZ file:
```
5
Lattice="-2.609 0.895 4.490 -4.560 -0.959 -2.459 0.354 -4.527 1.109" Properties=species:S:1:pos:R:3 pbc="T T T"
Re 0.000 0.000 0.000
Se 0.177 -2.264 0.554
Br -2.280 -0.480 -1.229
Br -1.304 0.448 2.245
Ru -3.407 -2.296 1.570
```